[1]
Below is a PBEsol-optimized structure of ZrZnAu, with properties calculated at the SCAN level.

```
data_ZrZnAu
_cell_length_a 4.312
_cell_length_b 4.312
_cell_length_c 4.312
_cell_angle_alpha 60.00
_cell_angle_beta 60.00
_cell_angle_gamma 60.00
_symmetry_space_group_name_H-M 'P 1'
_symmetry_Int_Tables_number 1
loop_
_symmetry_equiv_pos_as_xyz
'x,y,z'
loop_
_atom_site_label
_atom_site_type_symbol
_atom_site_fract_x
_atom_site_fract_y
_atom_site_fract_z
Zr1 Zr 0.000 0.000 0.000
Au1 Au 0.500 0.500 0.500
Zn1 Zn 0.250 0.250 0.250
```

Computed properties:
Space group: F-43m, No. 216
ΔH_f (0 K) in meV per atom: -340
VASP energy in eV/atom: -38.13


[2]
Below is a PBEsol-optimized structure of LiLaRu2, with properties calculated at the SCAN level.

```
data_LiLaRu2
_cell_length_a 3.096
_cell_length_b 5.011
_cell_length_c 5.011
_cell_angle_alpha 117.43
_cell_angle_beta 90.00
_cell_angle_gamma 90.00
_symmetry_space_group_name_H-M 'P 1'
_symmetry_Int_Tables_number 1
loop_
_symmetry_equiv_pos_as_xyz
'x,y,z'
loop_
_atom_site_label
_atom_site_type_symbol
_atom_site_fract_x
_atom_site_fract_y
_atom_site_fract_z
Ru1 Ru 0.000 0.500 0.000
Ru2 Ru 0.000 0.000 0.500
La1 La 0.500 0.000 0.000
Li1 Li 0.500 0.500 0.500
```

Computed properties:
Space group: Cmmm, No. 65
Energy above the lowest structure with this stoichiometry in eV per atom: 0.1460
ΔH_f (0 K) in meV per atom: 408
VASP energy in eV/atom: -28.38


[3]
Below is a PBEsol-optimized structure of Y2MnSbN, with properties calculated at the SCAN level.

```
data_Y2MnSbN
_cell_length_a 4.673
_cell_length_b 5.606
_cell_length_c 5.606
_cell_angle_alpha 90.00
_cell_angle_beta 90.00
_cell_angle_gamma 90.00
_symmetry_space_group_name_H-M 'P 1'
_symmetry_Int_Tables_number 1
loop_
_symmetry_equiv_pos_as_xyz
'x,y,z'
loop_
_atom_site_label
_atom_site_type_symbol
_atom_site_fract_x
_atom_site_fract_y
_atom_site_fract_z
Sb1 Sb 0.000 0.000 0.000
Y1 Y 0.000 0.000 0.500
Y2 Y 0.000 0.500 0.000
N1 N 0.500 0.500 0.500
Mn1 Mn 0.500 0.000 0.000
```

Computed properties:
Space group: P4/mmm, No. 123
E_form (uncorrected) in kJ per mole of atoms: 96.7
VASP energy in eV/atom: -23.10


[4]
Below is a PBEsol-optimized structure of Mg2ZnIr, with properties calculated at the SCAN level.

```
data_Mg2ZnIr
_cell_length_a 3.019
_cell_length_b 4.257
_cell_length_c 5.328
_cell_angle_alpha 90.00
_cell_angle_beta 106.46
_cell_angle_gamma 90.00
_symmetry_space_group_name_H-M 'P 1'
_symmetry_Int_Tables_number 1
loop_
_symmetry_equiv_pos_as_xyz
'x,y,z'
loop_
_atom_site_label
_atom_site_type_symbol
_atom_site_fract_x
_atom_site_fract_y
_atom_site_fract_z
Ir1 Ir 0.679 0.500 0.358
Mg1 Mg 0.410 0.500 0.819
Mg2 Mg 0.088 0.000 0.175
Zn1 Zn 0.812 0.000 0.624
```

Computed properties:
Space group: Amm2, No. 38
ΔH_f (0 K) in meV per atom: -345
VASP energy in eV/atom: -23.99


[5]
Below is a PBEsol-optimized structure of SmFeSb2, with properties calculated at the SCAN level.

```
data_SmFeSb2
_cell_length_a 4.271
_cell_length_b 4.271
_cell_length_c 9.575
_cell_angle_alpha 90.00
_cell_angle_beta 90.00
_cell_angle_gamma 90.00
_symmetry_space_group_name_H-M 'P 1'
_symmetry_Int_Tables_number 1
loop_
_symmetry_equiv_pos_as_xyz
'x,y,z'
loop_
_atom_site_label
_atom_site_type_symbol
_atom_site_fract_x
_atom_site_fract_y
_atom_site_fract_z
Sm1 Sm 0.500 0.000 0.259
Sm2 Sm 0.000 0.500 0.741
Fe1 Fe 0.000 0.000 0.500
Fe2 Fe 0.500 0.500 0.500
Sb1 Sb 0.000 0.500 0.362
Sb2 Sb 0.500 0.500 0.000
Sb3 Sb 0.500 0.000 0.638
Sb4 Sb 0.000 0.000 0.000
```

Computed properties:
Space group: P4/nmm, No. 129
E_form (uncorrected) in kJ per mole of atoms: -48.7
VASP energy in eV/atom: -34.78


[6]
Below is a PBEsol-optimized structure of SrGaSb2I, with properties calculated at the SCAN level.

```
data_SrGaSb2I
_cell_length_a 5.213
_cell_length_b 5.213
_cell_length_c 6.030
_cell_angle_alpha 90.00
_cell_angle_beta 90.00
_cell_angle_gamma 90.00
_symmetry_space_group_name_H-M 'P 1'
_symmetry_Int_Tables_number 1
loop_
_symmetry_equiv_pos_as_xyz
'x,y,z'
loop_
_atom_site_label
_atom_site_type_symbol
_atom_site_fract_x
_atom_site_fract_y
_atom_site_fract_z
Sr1 Sr 0.500 0.500 0.500
Sb1 Sb 0.000 0.500 0.000
Sb2 Sb 0.500 0.000 0.000
Ga1 Ga 0.000 0.000 0.000
I1 I 0.000 0.000 0.500
```

Computed properties:
Space group: P4/mmm, No. 123
E_form (uncorrected) in kJ per mole of atoms: -25.0
VASP energy in eV/atom: -30.24


[7]
Below is a PBEsol-optimized structure of LiZr, with properties calculated at the SCAN level.

```
data_LiZr
_cell_length_a 2.860
_cell_length_b 2.860
_cell_length_c 4.775
_cell_angle_alpha 90.00
_cell_angle_beta 90.00
_cell_angle_gamma 90.00
_symmetry_space_group_name_H-M 'P 1'
_symmetry_Int_Tables_number 1
loop_
_symmetry_equiv_pos_as_xyz
'x,y,z'
loop_
_atom_site_label
_atom_site_type_symbol
_atom_site_fract_x
_atom_site_fract_y
_atom_site_fract_z
Li1 Li 0.000 0.000 0.000
Zr1 Zr 0.500 0.500 0.500
```

Computed properties:
Space group: P4/mmm, No. 123
Energy above the lowest structure with this stoichiometry in eV per atom: 0.2706
ΔH_f (0 K) in meV per atom: 375
VASP energy in eV/atom: -16.17


[8]
Below is a PBEsol-optimized structure of CaMg3Ta, with properties calculated at the SCAN level.

```
data_CaMg3Ta
_cell_length_a 5.356
_cell_length_b 5.356
_cell_length_c 5.356
_cell_angle_alpha 90.00
_cell_angle_beta 90.00
_cell_angle_gamma 90.00
_symmetry_space_group_name_H-M 'P 1'
_symmetry_Int_Tables_number 1
loop_
_symmetry_equiv_pos_as_xyz
'x,y,z'
loop_
_atom_site_label
_atom_site_type_symbol
_atom_site_fract_x
_atom_site_fract_y
_atom_site_fract_z
Mg1 Mg 0.000 0.500 0.000
Mg2 Mg 0.000 0.000 0.500
Mg3 Mg 0.500 0.000 0.000
Ca1 Ca 0.500 0.500 0.500
Ta1 Ta 0.000 0.000 0.000
```

Computed properties:
Space group: Pm-3m, No. 221
ΔH_f (0 K) in meV per atom: 902
VASP energy in eV/atom: -17.33


[9]
Below is a PBEsol-optimized structure of ScRe2Ni, with properties calculated at the SCAN level.

```
data_ScRe2Ni
_cell_length_a 3.678
_cell_length_b 3.678
_cell_length_c 4.336
_cell_angle_alpha 90.00
_cell_angle_beta 90.00
_cell_angle_gamma 90.00
_symmetry_space_group_name_H-M 'P 1'
_symmetry_Int_Tables_number 1
loop_
_symmetry_equiv_pos_as_xyz
'x,y,z'
loop_
_atom_site_label
_atom_site_type_symbol
_atom_site_fract_x
_atom_site_fract_y
_atom_site_fract_z
Ni1 Ni 0.000 0.000 0.500
Re1 Re 0.500 0.000 0.000
Re2 Re 0.000 0.500 0.000
Sc1 Sc 0.500 0.500 0.500
```

Computed properties:
Space group: P4/mmm, No. 123
Energy above the lowest structure with this stoichiometry in eV per atom: 0.0000
ΔH_f (0 K) in meV per atom: -36
VASP energy in eV/atom: -43.19


[10]
Below is a PBEsol-optimized structure of ZnCr2Cl, with properties calculated at the SCAN level.

```
data_ZnCr2Cl
_cell_length_a 2.931
_cell_length_b 4.598
_cell_length_c 4.598
_cell_angle_alpha 97.31
_cell_angle_beta 90.00
_cell_angle_gamma 90.00
_symmetry_space_group_name_H-M 'P 1'
_symmetry_Int_Tables_number 1
loop_
_symmetry_equiv_pos_as_xyz
'x,y,z'
loop_
_atom_site_label
_atom_site_type_symbol
_atom_site_fract_x
_atom_site_fract_y
_atom_site_fract_z
Cr1 Cr 0.000 0.000 0.500
Cr2 Cr 0.000 0.500 0.000
Zn1 Zn 0.500 0.000 0.000
Cl1 Cl 0.500 0.500 0.500
```

Computed properties:
Space group: Cmmm, No. 65
Energy above the lowest structure with this stoichiometry in eV per atom: 0.3158
E_form (uncorrected) in kJ per mole of atoms: 26.3
VASP energy in eV/atom: -14.29


[11]
Below is a PBEsol-optimized structure of TlCo2Sb, with properties calculated at the SCAN level.

```
data_TlCo2Sb
_cell_length_a 3.167
_cell_length_b 4.449
_cell_length_c 4.449
_cell_angle_alpha 90.00
_cell_angle_beta 90.00
_cell_angle_gamma 90.00
_symmetry_space_group_name_H-M 'P 1'
_symmetry_Int_Tables_number 1
loop_
_symmetry_equiv_pos_as_xyz
'x,y,z'
loop_
_atom_site_label
_atom_site_type_symbol
_atom_site_fract_x
_atom_site_fract_y
_atom_site_fract_z
Sb1 Sb 0.500 0.500 0.500
Co1 Co 0.000 0.500 0.000
Co2 Co 0.000 0.000 0.500
Tl1 Tl 0.500 0.000 0.000
```

Computed properties:
Space group: P4/mmm, No. 123
Energy above the lowest structure with this stoichiometry in eV per atom: 0.2342
E_form (uncorrected) in kJ per mole of atoms: 54.0
VASP energy in eV/atom: -35.50


[12]
Below is a PBEsol-optimized structure of SrCa2Cl, with properties calculated at the SCAN level.

```
data_SrCa2Cl
_cell_length_a 3.789
_cell_length_b 3.789
_cell_length_c 10.678
_cell_angle_alpha 90.00
_cell_angle_beta 90.00
_cell_angle_gamma 90.00
_symmetry_space_group_name_H-M 'P 1'
_symmetry_Int_Tables_number 1
loop_
_symmetry_equiv_pos_as_xyz
'x,y,z'
loop_
_atom_site_label
_atom_site_type_symbol
_atom_site_fract_x
_atom_site_fract_y
_atom_site_fract_z
Ca1 Ca 0.500 0.500 0.247
Ca2 Ca 0.000 0.000 0.992
Sr1 Sr 0.500 0.500 0.699
Cl1 Cl 0.000 0.000 0.562
```

Computed properties:
Space group: P4mm, No. 99
Energy above the lowest structure with this stoichiometry in eV per atom: 0.0526
E_form (uncorrected) in kJ per mole of atoms: -75.7
VASP energy in eV/atom: -13.18


[13]
Below is a PBEsol-optimized structure of Zr3AlB, with properties calculated at the SCAN level.

```
data_Zr3AlB
_cell_length_a 4.854
_cell_length_b 4.854
_cell_length_c 4.854
_cell_angle_alpha 90.00
_cell_angle_beta 90.00
_cell_angle_gamma 90.00
_symmetry_space_group_name_H-M 'P 1'
_symmetry_Int_Tables_number 1
loop_
_symmetry_equiv_pos_as_xyz
'x,y,z'
loop_
_atom_site_label
_atom_site_type_symbol
_atom_site_fract_x
_atom_site_fract_y
_atom_site_fract_z
Zr1 Zr 0.000 0.500 0.000
Zr2 Zr 0.000 0.000 0.500
Zr3 Zr 0.500 0.000 0.000
Al1 Al 0.000 0.000 0.000
B1 B 0.500 0.500 0.500
```

Computed properties:
Space group: Pm-3m, No. 221
ΔH_f (0 K) in meV per atom: 1314
VASP energy in eV/atom: -20.14


[14]
Below is a PBEsol-optimized structure of ScSnSbI2, with properties calculated at the SCAN level.

```
data_ScSnSbI2
_cell_length_a 5.431
_cell_length_b 5.431
_cell_length_c 5.790
_cell_angle_alpha 90.00
_cell_angle_beta 90.00
_cell_angle_gamma 90.00
_symmetry_space_group_name_H-M 'P 1'
_symmetry_Int_Tables_number 1
loop_
_symmetry_equiv_pos_as_xyz
'x,y,z'
loop_
_atom_site_label
_atom_site_type_symbol
_atom_site_fract_x
_atom_site_fract_y
_atom_site_fract_z
Sn1 Sn 0.500 0.500 0.500
Sc1 Sc 0.000 0.000 0.000
Sb1 Sb 0.000 0.000 0.500
I1 I 0.000 0.500 0.000
I2 I 0.500 0.000 0.000
```

Computed properties:
Space group: P4/mmm, No. 123
E_form (uncorrected) in kJ per mole of atoms: -17.7
VASP energy in eV/atom: -32.36


[15]
Below is a PBEsol-optimized structure of SrLiCl2, with properties calculated at the SCAN level.

```
data_SrLiCl2
_cell_length_a 3.701
_cell_length_b 4.721
_cell_length_c 4.817
_cell_angle_alpha 90.00
_cell_angle_beta 90.00
_cell_angle_gamma 90.00
_symmetry_space_group_name_H-M 'P 1'
_symmetry_Int_Tables_number 1
loop_
_symmetry_equiv_pos_as_xyz
'x,y,z'
loop_
_atom_site_label
_atom_site_type_symbol
_atom_site_fract_x
_atom_site_fract_y
_atom_site_fract_z
Li1 Li 0.500 0.500 0.000
Cl1 Cl 0.000 0.000 0.000
Cl2 Cl 0.000 0.500 0.500
Sr1 Sr 0.500 0.000 0.500
```

Computed properties:
Space group: Pmmm, No. 47
Energy above the lowest structure with this stoichiometry in eV per atom: 0.1894
E_form (uncorrected) in kJ per mole of atoms: -157.1
VASP energy in eV/atom: -11.78


[16]
Below is a PBEsol-optimized structure of CdAuCl2, with properties calculated at the SCAN level.

```
data_CdAuCl2
_cell_length_a 3.822
_cell_length_b 3.466
_cell_length_c 8.237
_cell_angle_alpha 90.00
_cell_angle_beta 90.00
_cell_angle_gamma 123.45
_symmetry_space_group_name_H-M 'P 1'
_symmetry_Int_Tables_number 1
loop_
_symmetry_equiv_pos_as_xyz
'x,y,z'
loop_
_atom_site_label
_atom_site_type_symbol
_atom_site_fract_x
_atom_site_fract_y
_atom_site_fract_z
Au1 Au 0.000 0.000 0.507
Cl1 Cl 0.000 0.000 0.940
Cl2 Cl 0.500 0.000 0.312
Cd1 Cd 0.500 0.000 0.740
```

Computed properties:
Space group: Cmm2, No. 35
Energy above the lowest structure with this stoichiometry in eV per atom: 0.1102
E_form (uncorrected) in kJ per mole of atoms: -38.4
VASP energy in eV/atom: -29.28


[17]
Below is a PBEsol-optimized structure of Tm2Ga9Ir3, with properties calculated at the SCAN level.

```
data_Tm2Ga9Ir3
_cell_length_a 7.466
_cell_length_b 7.447
_cell_length_c 9.333
_cell_angle_alpha 90.00
_cell_angle_beta 90.00
_cell_angle_gamma 120.08
_symmetry_space_group_name_H-M 'P 1'
_symmetry_Int_Tables_number 1
loop_
_symmetry_equiv_pos_as_xyz
'x,y,z'
loop_
_atom_site_label
_atom_site_type_symbol
_atom_site_fract_x
_atom_site_fract_y
_atom_site_fract_z
Ga1 Ga 0.668 0.000 0.932
Ga2 Ga 0.665 0.665 0.081
Ga3 Ga 0.999 0.665 0.919
Ga4 Ga 0.668 0.000 0.568
Ga5 Ga 0.129 0.000 0.750
Ga6 Ga 0.332 0.000 0.068
Ga7 Ga 0.871 0.000 0.250
Ga8 Ga 0.453 0.792 0.250
Ga9 Ga 0.547 0.208 0.750
Ga10 Ga 0.661 0.208 0.250
Ga11 Ga 0.335 0.335 0.581
Ga12 Ga 0.335 0.335 0.919
Ga13 Ga 0.339 0.792 0.750
Ga14 Ga 0.665 0.665 0.419
Ga15 Ga 0.001 0.335 0.419
Ga16 Ga 0.332 0.000 0.432
Ga17 Ga 0.999 0.665 0.581
Ga18 Ga 0.001 0.335 0.081
Tm1 Tm 0.670 0.672 0.750
Tm2 Tm 0.003 0.672 0.250
Tm3 Tm 0.997 0.328 0.750
Tm4 Tm 0.330 0.328 0.250
Ir1 Ir 0.672 0.343 0.000
Ir2 Ir 0.672 0.343 0.500
Ir3 Ir 0.328 0.657 0.000
Ir4 Ir 0.000 0.000 0.500
Ir5 Ir 0.000 0.000 0.000
Ir6 Ir 0.328 0.657 0.500
```

Computed properties:
Space group: Cmcm, No. 63
ΔH_f (0 K) in meV per atom: -789
VASP energy in eV/atom: -33.94


[18]
Below is a PBEsol-optimized structure of Zr2OsPbAu, with properties calculated at the SCAN level.

```
data_Zr2OsPbAu
_cell_length_a 4.868
_cell_length_b 5.028
_cell_length_c 5.028
_cell_angle_alpha 90.00
_cell_angle_beta 90.00
_cell_angle_gamma 90.00
_symmetry_space_group_name_H-M 'P 1'
_symmetry_Int_Tables_number 1
loop_
_symmetry_equiv_pos_as_xyz
'x,y,z'
loop_
_atom_site_label
_atom_site_type_symbol
_atom_site_fract_x
_atom_site_fract_y
_atom_site_fract_z
Pb1 Pb 0.500 0.500 0.500
Au1 Au 0.000 0.000 0.000
Zr1 Zr 0.000 0.500 0.000
Zr2 Zr 0.000 0.000 0.500
Os1 Os 0.500 0.000 0.000
```

Computed properties:
Space group: P4/mmm, No. 123
ΔH_f (0 K) in meV per atom: 827
VASP energy in eV/atom: -54.82


[19]
Below is a PBEsol-optimized structure of ScMo, with properties calculated at the SCAN level.

```
data_ScMo
_cell_length_a 3.178
_cell_length_b 3.178
_cell_length_c 7.455
_cell_angle_alpha 90.00
_cell_angle_beta 90.00
_cell_angle_gamma 90.00
_symmetry_space_group_name_H-M 'P 1'
_symmetry_Int_Tables_number 1
loop_
_symmetry_equiv_pos_as_xyz
'x,y,z'
loop_
_atom_site_label
_atom_site_type_symbol
_atom_site_fract_x
_atom_site_fract_y
_atom_site_fract_z
Mo1 Mo 0.500 0.000 0.593
Mo2 Mo 0.000 0.500 0.407
Sc1 Sc 0.500 0.000 0.172
Sc2 Sc 0.000 0.500 0.828
```

Computed properties:
Space group: P4/nmm, No. 129
Energy above the lowest structure with this stoichiometry in eV per atom: 0.0000
ΔH_f (0 K) in meV per atom: -3
VASP energy in eV/atom: -24.56


[20]
Below is a PBEsol-optimized structure of Te3AuF, with properties calculated at the SCAN level.

```
data_Te3AuF
_cell_length_a 4.896
_cell_length_b 4.896
_cell_length_c 4.896
_cell_angle_alpha 90.00
_cell_angle_beta 90.00
_cell_angle_gamma 90.00
_symmetry_space_group_name_H-M 'P 1'
_symmetry_Int_Tables_number 1
loop_
_symmetry_equiv_pos_as_xyz
'x,y,z'
loop_
_atom_site_label
_atom_site_type_symbol
_atom_site_fract_x
_atom_site_fract_y
_atom_site_fract_z
Te1 Te 0.000 0.500 0.000
Te2 Te 0.500 0.000 0.000
Te3 Te 0.000 0.000 0.500
F1 F 0.000 0.000 0.000
Au1 Au 0.500 0.500 0.500
```

Computed properties:
Space group: Pm-3m, No. 221
E_form (uncorrected) in kJ per mole of atoms: 37.5
VASP energy in eV/atom: -36.50